Computed, not measured: a crystal of TlCuCl2 relaxed with PBEsol at the SCAN level of DFT.

Calculated values
Energy above the most stable polymorph in this dataset   445 meV per atom
E_form (uncorrected)   -7.7 kcal/mol of atoms
Size of the total moment   0.000 μB per atom

a = 6.971 Å, b = 6.971 Å, c = 6.971 Å
α = 90.00°, β = 90.00°, γ = 90.00°
Space group Fm-3m (No. 225)
One atom of each set of equivalent atoms:
Tl: 0.000 0.000 0.000 [4 per cell]
Cu: 0.000 0.000 0.500 [4 per cell]
Cl: 0.250 0.250 0.250 [8 per cell]